The following is a DFT calculation (GGA-PBE) of crystalline TbPm4Sm2Y2 at its relaxed geometry.

Output
Energy: -45.87 eV per cell
Total magnetic moment: 0.0 μB/cell
SG: No. 12
Energy of formation from the pure elements: 0.015 eV per atom

a b c (Å): 3.615 9.579 8.884
angles (deg): 89.95 90.00 100.88
Atoms (fractional coordinates):
Tb: 0.000 0.000 0.000
Pm: 0.778 0.555 0.668
Pm: 0.222 0.445 0.332
Pm: 0.555 0.110 0.330
Pm: 0.445 0.890 0.670
Sm: 0.889 0.778 0.332
Sm: 0.111 0.222 0.668
Y: 0.334 0.667 0.000
Y: 0.666 0.333 0.000